[1]
AcMgAu4 PBE optimized geometry; electronic total energy = -0.1338 hartree per atom; N(E_F) = 1.0386 states/eV per atom; ρ = 12.9 g/cm3; total moment = 0.00 μB per formula unit
1.0
-2.892 0.781 -4.891
-5.567 -1.349 -0.286
-3.941 4.151 -0.370
Au Mg Ac
4 1 1
Cartesian
-5.776 0.149 -3.286
-4.955 2.924 -3.328
-7.764 2.243 -3.473
-6.305 1.849 -1.005
0.000 0.000 0.000
-3.100 0.896 -1.386

[2]
Ac2MgAu PBE optimized geometry; electronic total energy = -0.1147 hartree per atom; N(E_F) = 0.6402 states/eV per atom; ρ = 7.5 g/cm3; total moment = 0.00 μB per formula unit
1.0
3.866 0.000 0.000
1.933 3.348 0.000
1.933 1.116 11.519
Mg Ac Au
1 2 1
Cartesian
3.866 2.232 5.759
1.933 1.116 8.522
5.798 3.348 2.997
0.000 0.000 0.000

[3]
AcMg9Au2 PBE optimized geometry; electronic total energy = -0.0883 hartree per atom; N(E_F) = 0.4288 states/eV per atom; ρ = 5.1 g/cm3; total moment = 0.00 μB per formula unit
1.0
6.943 0.000 3.197
3.472 8.471 1.598
-0.071 0.000 9.293
Mg Ac Au
18 2 4
Cartesian
4.491 5.736 2.789
4.470 3.580 9.732
7.928 6.971 9.034
6.758 4.891 4.763
6.908 4.236 7.843
5.376 2.735 3.196
3.622 7.816 4.678
1.532 1.501 4.647
2.367 0.655 7.404
0.000 0.000 0.000
3.251 7.816 7.811
4.506 0.655 5.085
2.402 3.580 2.758
2.381 5.736 9.701
1.497 2.735 9.294
5.340 1.501 7.842
5.888 6.971 6.652
7.058 4.891 10.923
3.472 0.000 1.598
3.436 4.236 6.245
6.890 2.118 10.166
6.925 2.118 5.520
5.154 6.353 9.367
8.661 6.353 6.319

[4]
Ac3MgAu2 PBE optimized geometry; electronic total energy = -0.1454 hartree per atom; N(E_F) = 0.6898 states/eV per atom; ρ = 9.7 g/cm3; total moment = 0.00 μB per formula unit
1.0
-1.484 -3.668 -0.293
2.119 -1.111 3.166
-9.090 3.104 7.174
Ac Au Mg
3 2 1
Cartesian
0.000 0.000 0.000
-6.193 2.115 4.887
-2.897 0.989 2.286
-7.253 0.196 7.410
-1.203 -1.870 2.635
-4.228 -0.837 5.023

[5]
AcMgAu PBE optimized geometry; electronic total energy = -0.1337 hartree per atom; N(E_F) = 0.8295 states/eV per atom; ρ = 9.0 g/cm3; total moment = 0.00 μB per formula unit
1.0
-2.628 -1.492 -3.287
-0.099 -7.257 3.374
-5.553 5.411 1.983
Au Ac Mg
3 3 3
Cartesian
-1.413 -8.003 1.730
-1.917 -3.034 2.910
-3.735 1.189 2.447
-4.561 2.418 -0.484
-3.661 -1.513 0.581
-1.372 -4.989 0.329
-1.377 -6.012 3.830
-4.352 -1.421 4.124
-0.023 -1.670 0.776

[6]
AcMg4Au2 PBE optimized geometry; electronic total energy = -0.1094 hartree per atom; N(E_F) = 0.3972 states/eV per atom; ρ = 7.3 g/cm3; total moment = 0.00 μB per formula unit
1.0
4.497 0.000 0.000
0.000 8.537 0.000
0.000 0.000 8.537
Mg Au Ac
8 4 2
Cartesian
2.249 1.384 5.004
0.000 2.884 0.735
0.000 7.802 5.653
2.249 3.533 7.153
2.249 5.004 1.384
0.000 5.653 7.802
0.000 0.735 2.884
2.249 7.153 3.533
2.249 6.136 6.136
0.000 6.669 1.868
2.249 2.401 2.401
0.000 1.868 6.669
0.000 4.269 4.269
2.249 0.000 0.000